Arrangement A

4
Lattice="2.680 0.003 0.000 -0.860 2.538 0.000 0.000 0.000 9.137" Properties=species:S:1:pos:R:3 comment="LiMoW2 GGA-PBEsol relaxed" sg="No. 35" pbc="T T T"
Li 0.000 0.000 4.573
W 0.910 1.271 6.916
W 0.000 0.000 0.006
Mo 0.910 1.271 2.210

---

Arrangement B

4
Lattice="-1.392 1.424 1.628 -1.391 -4.439 0.661 3.797 -0.345 3.549" Properties=species:S:1:pos:R:3 comment="LiMoW2 GGA-PBEsol relaxed" sg="No. 8" pbc="T T T"
W 3.794 -0.350 3.551
W -0.769 -1.249 2.467
Mo 1.783 -2.109 3.370
Li -0.186 -3.896 3.249

---

Arrangement C

4
Lattice="3.154 0.000 0.000 0.000 4.375 0.000 -1.577 -2.187 4.303" Properties=species:S:1:pos:R:3 comment="LiMoW2 GGA-PBEsol relaxed" sg="No. 44" pbc="T T T"
Mo 1.577 0.000 2.090
Li 0.000 0.000 4.291
W 0.000 2.187 2.209
W 0.000 0.000 0.016

---

Need the numbers? Relative energies in meV per atom: arrangement A 0; arrangement B 170; arrangement C 163.

---

Arrangement A

4
Lattice="-2.435 -3.161 -0.781 2.362 -1.044 -3.140 2.433 -0.394 4.593" Properties=species:S:1:pos:R:3 comment="LiZr2Mo GGA-PBEsol relaxed" sg="No. 119" pbc="T T T"
Zr -0.019 -2.829 0.926
Zr 0.000 0.000 0.000
Mo 2.379 -1.770 -0.254
Li -0.036 -2.103 -1.960

---

Arrangement B

4
Lattice="4.665 0.000 0.000 2.333 4.040 0.000 2.333 1.347 3.809" Properties=species:S:1:pos:R:3 comment="LiZr2Mo GGA-PBEsol relaxed" sg="No. 225" pbc="T T T"
Zr 6.998 4.040 2.857
Zr 2.333 1.347 0.952
Li 0.000 0.000 0.000
Mo 4.665 2.694 1.905

---

Need the numbers? Relative energies in meV per atom: arrangement A 236; arrangement B 0.

---

Arrangement A

5
Lattice="-3.207 -1.144 1.423 1.800 -2.463 2.077 0.306 2.499 2.698" Properties=species:S:1:pos:R:3 comment="LiNi3N GGA-PBEsol relaxed" sg="No. 221" pbc="T T T"
Ni -1.604 -0.572 0.712
Ni 0.153 1.249 1.349
Ni 0.900 -1.232 1.038
Li -0.551 -0.554 3.099
N 0.000 0.000 0.000

---

Arrangement B

5
Lattice="3.772 0.000 0.000 0.000 3.772 0.000 0.000 0.000 3.772" Properties=species:S:1:pos:R:3 comment="LiNi3N GGA-PBEsol relaxed" sg="No. 221" pbc="T T T"
Ni 0.000 0.000 1.886
Ni 1.886 0.000 0.000
Ni 0.000 1.886 0.000
N 1.886 1.886 1.886
Li 0.000 0.000 0.000

---

Need the numbers? Relative energies in meV per atom: arrangement A 0; arrangement B 2021.

---

Arrangement A

8
Lattice="4.603 0.000 0.000 0.000 4.603 0.000 -2.301 -2.301 4.632" Properties=species:S:1:pos:R:3 comment="LiReN2 GGA-PBEsol relaxed" sg="No. 122" pbc="T T T"
Li 2.301 2.301 0.000
Li 2.301 0.000 2.316
N 3.660 1.151 1.158
N 0.943 3.452 1.158
N -1.151 -1.359 3.474
N 1.151 1.359 3.474
Re 0.000 2.301 2.316
Re 0.000 0.000 0.000

---

Arrangement B

16
Lattice="-0.140 -2.047 -5.117 2.475 -4.593 1.769 -5.747 -2.631 1.210" Properties=species:S:1:pos:R:3 comment="LiReN2 GGA-PBEsol relaxed" sg="No. 33" pbc="T T T"
N -3.379 -2.545 -0.979
N -0.063 -7.142 -2.201
N -2.780 -5.316 -3.133
N -3.844 -5.620 0.264
N -2.900 -8.233 -1.963
N -0.554 -1.645 -1.693
N 0.402 -4.067 -3.444
N -0.674 -4.562 -0.522
Re -3.493 -1.989 0.810
Re -3.580 -4.892 1.974
Re 0.234 -3.411 -1.693
Re 0.147 -6.314 -0.530
Li -2.647 -4.562 -1.110
Li -0.697 -3.710 1.466
Li -2.850 -7.518 0.078
Li -0.495 -0.755 0.278

---

Arrangement C

4
Lattice="-1.427 0.736 2.448 0.606 -1.369 2.516 3.964 3.918 2.882" Properties=species:S:1:pos:R:3 comment="LiReN2 GGA-PBEsol relaxed" sg="No. 166" pbc="T T T"
N 0.475 0.629 5.339
N 2.668 2.656 2.506
Li 0.000 0.000 0.000
Re 1.572 1.643 3.923

---

Need the numbers? Relative energies in meV per atom: arrangement A 0; arrangement B 17; arrangement C 171.

---

Arrangement A

5
Lattice="-2.596 2.590 0.622 0.291 -0.588 3.661 3.825 3.763 0.300" Properties=species:S:1:pos:R:3 comment="LiRhSeN2 GGA-PBEsol relaxed" sg="No. 123" pbc="T T T"
N 0.145 -0.294 1.831
N -1.298 1.295 0.311
Se 1.913 1.882 0.150
Li 0.760 2.882 2.292
Rh 0.000 0.000 0.000

---

Arrangement B

5
Lattice="3.618 0.000 0.000 0.000 3.618 0.000 0.000 0.000 4.364" Properties=species:S:1:pos:R:3 comment="LiRhSeN2 GGA-PBEsol relaxed" sg="No. 123" pbc="T T T"
N 0.000 1.809 0.000
N 1.809 0.000 0.000
Rh 1.809 1.809 2.182
Li 0.000 0.000 0.000
Se 0.000 0.000 2.182

---

Need the numbers? Relative energies in meV per atom: arrangement A 0; arrangement B 1091.

---

Arrangement A

5
Lattice="5.276 0.000 0.000 0.000 5.276 0.000 0.000 0.000 5.276" Properties=species:S:1:pos:R:3 comment="Li3SnN GGA-PBEsol relaxed" sg="No. 221" pbc="T T T"
Li 0.000 0.000 2.638
Li 2.638 0.000 0.000
Li 0.000 2.638 0.000
Sn 0.000 0.000 0.000
N 2.638 2.638 2.638

---

Arrangement B

5
Lattice="-2.842 -2.871 -0.314 1.870 -1.494 -3.269 2.200 -2.438 2.373" Properties=species:S:1:pos:R:3 comment="Li3SnN GGA-PBEsol relaxed" sg="No. 221" pbc="T T T"
Sn 0.614 -3.401 -0.605
Li -1.421 -1.435 -0.157
Li 1.100 -1.219 1.186
Li 0.935 -0.747 -1.635
N 0.000 0.000 0.000

---

Need the numbers? Relative energies in meV per atom: arrangement A 1225; arrangement B 0.

---

Arrangement A

8
Lattice="4.774 0.000 0.000 0.000 4.774 0.000 -2.387 -2.387 4.548" Properties=species:S:1:pos:R:3 comment="LiTaN2 GGA-PBEsol relaxed" sg="No. 122" pbc="T T T"
N 1.023 3.581 1.137
N 3.751 1.194 1.137
N 1.194 1.364 3.411
N -1.194 -1.364 3.411
Ta 0.000 0.000 0.000
Ta 0.000 2.387 2.274
Li 2.387 0.000 2.274
Li 2.387 2.387 0.000

---

Arrangement B

32
Lattice="-0.445 2.515 -3.279 -3.899 -1.354 -0.509 -6.068 13.326 11.043" Properties=species:S:1:pos:R:3 comment="LiTaN2 GGA-PBEsol relaxed" sg="No. 14" pbc="T T T"
N -4.979 4.258 1.312
N -9.118 14.135 6.818
N -6.809 13.269 8.468
N -8.009 10.927 6.828
N -3.380 6.485 0.168
N -3.797 6.601 2.942
N -4.438 3.851 -1.708
N -6.615 7.886 4.313
N -3.603 1.217 -1.213
N -2.403 3.559 0.427
N -5.433 10.228 5.943
N -1.293 0.352 0.437
N -5.973 10.635 8.963
N -7.032 8.002 7.087
N -4.761 9.524 2.691
N -5.650 4.962 4.564
Li -5.805 6.070 2.812
Li -5.137 8.827 7.458
Li -4.606 8.416 4.443
Li -7.848 9.822 8.589
Li -2.564 4.665 -1.334
Li -5.274 5.660 -0.203
Li -8.832 12.738 8.331
Li -1.580 1.748 -1.076
Ta -6.680 12.169 10.199
Ta -3.136 5.057 1.693
Ta -4.058 7.992 1.452
Ta -4.327 2.714 0.058
Ta -6.084 11.772 7.197
Ta -7.275 9.430 5.562
Ta -6.354 6.495 5.803
Ta -3.732 2.318 -2.944

---

Need the numbers? Relative energies in meV per atom: arrangement A 156; arrangement B 0.

---

Arrangement A

5
Lattice="-3.005 -1.871 0.199 0.562 -0.321 5.459 -2.864 4.658 0.569" Properties=species:S:1:pos:R:3 comment="LiTlTe2N GGA-PBEsol relaxed" sg="No. 123" pbc="T T T"
Li 0.000 0.000 0.000
N -1.502 -0.936 0.100
Tl -2.653 1.233 3.113
Te 0.281 -0.161 2.730
Te -1.432 2.329 0.284

---

Arrangement B

5
Lattice="-3.490 -2.115 -0.767 1.745 -4.247 3.773 -2.706 2.849 4.459" Properties=species:S:1:pos:R:3 comment="LiTlTe2N GGA-PBEsol relaxed" sg="No. 123" pbc="T T T"
Te 0.873 -2.124 1.886
Te -1.353 1.424 2.229
Li -2.226 -1.757 3.732
N -1.745 -1.058 -0.383
Tl 0.000 0.000 0.000

---

Need the numbers? Relative energies in meV per atom: arrangement A 0; arrangement B 174.

---

Arrangement A

8
Lattice="-0.321 -3.099 3.406 4.582 2.650 -0.285 -3.562 2.331 1.784" Properties=species:S:1:pos:R:3 comment="LiVN2 GGA-PBEsol relaxed" sg="No. 122" pbc="T T T"
V -0.461 2.298 2.047
V 0.000 0.000 0.000
Li -1.942 -0.384 2.595
Li 1.159 -0.416 2.858
N -2.270 -0.181 4.659
N 0.972 3.186 1.427
N -0.293 0.546 1.686
N 2.988 0.213 2.039

---

Arrangement B

16
Lattice="4.959 0.000 0.000 0.000 5.414 0.000 0.000 0.000 6.589" Properties=species:S:1:pos:R:3 comment="LiVN2 GGA-PBEsol relaxed" sg="No. 33" pbc="T T T"
V 0.018 0.403 0.827
V 2.498 5.011 5.762
V 2.498 2.304 4.121
V 0.018 3.110 2.467
N 4.273 5.114 5.922
N 2.062 0.566 4.305
N 1.794 0.300 0.666
N 2.062 3.273 5.578
N 4.273 2.407 3.961
N 4.542 2.141 1.011
N 1.794 3.007 2.628
N 4.542 4.848 2.283
Li 4.903 3.145 5.785
Li 2.424 2.270 0.804
Li 4.903 0.438 4.098
Li 2.424 4.977 2.490

---

Need the numbers? Relative energies in meV per atom: arrangement A 16; arrangement B 0.

---

Arrangement A

8
Lattice="-3.820 -2.418 -1.014 -0.806 -0.622 4.520 -0.184 5.428 -1.660" Properties=species:S:1:pos:R:3 comment="LiWN2 GGA-PBEsol relaxed" sg="No. 122" pbc="T T T"
N -3.851 -1.093 0.350
N -0.683 3.717 -0.997
N -2.023 0.007 3.202
N -3.063 2.145 1.136
W -1.652 1.643 2.306
W 0.000 0.000 0.000
Li -3.159 0.745 -0.461
Li -2.313 -1.520 1.753

---

Arrangement B

4
Lattice="2.929 0.000 0.000 1.464 2.536 0.000 1.464 0.845 5.332" Properties=species:S:1:pos:R:3 comment="LiWN2 GGA-PBEsol relaxed" sg="No. 160" pbc="T T T"
N 2.929 1.691 1.257
N 2.929 1.691 4.193
W 4.393 2.536 0.052
Li 1.464 0.845 2.602

---

Need the numbers? Relative energies in meV per atom: arrangement A 71; arrangement B 0.

---

Arrangement A

5
Lattice="4.498 0.000 0.000 0.000 4.498 0.000 -2.249 -2.249 4.413" Properties=species:S:1:pos:R:3 comment="NaLi2Pd2 GGA-PBEsol relaxed" sg="No. 139" pbc="T T T"
Li 0.000 2.249 2.206
Li 2.249 0.000 2.206
Pd 0.000 0.000 3.136
Pd 2.249 2.249 1.277
Na 0.000 0.000 0.000

---

Arrangement B

10
Lattice="-1.731 -0.314 -2.144 1.728 -7.347 -0.318 -5.643 -1.534 4.782" Properties=species:S:1:pos:R:3 comment="NaLi2Pd2 GGA-PBEsol relaxed" sg="No. 127" pbc="T T T"
Li -4.451 -6.306 2.726
Li -1.325 -6.833 0.279
Li -4.321 -2.362 2.042
Li -1.195 -2.889 -0.405
Pd -2.047 -7.363 2.733
Pd -1.868 -1.519 1.731
Pd -4.273 -4.059 4.046
Pd 0.358 -4.823 0.419
Na -1.957 -4.440 2.232
Na -3.915 -8.881 4.464

---

Need the numbers? Relative energies in meV per atom: arrangement A 211; arrangement B 0.